TmGa | GGA-PBEsol | optimized geometry

Results
**Formation enthalpy at 0 K**: -127 kJ/mol of formula units
**Space-group type**: No. 63

Cell lengths 5.695, 5.695, 3.949 Å; angles 90.00, 90.00, 136.58 degrees
Fractional positions:
Tm  0.140  0.860  0.750
Tm  0.860  0.140  0.250
Ga  0.422  0.578  0.750
Ga  0.578  0.422  0.250



Tm2ZnGa | GGA-PBEsol | optimized geometry

Results
**Formation enthalpy at 0 K**: -196 kJ/mol of formula units
**Space-group type**: No. 225

Cell lengths 4.891, 4.891, 4.891 Å; angles 60.00, 60.00, 60.00 degrees
Fractional positions:
Tm  0.250  0.250  0.250
Tm  0.750  0.750  0.750
Zn  0.000  0.000  0.000
Ga  0.500  0.500  0.500



UGa | GGA-PBEsol | optimized geometry

Results
**Formation enthalpy at 0 K**: -17 kJ/mol of formula units
**Space-group type**: No. 63

Cell lengths 5.755, 5.755, 4.846 Å; angles 90.00, 90.00, 67.18 degrees
Fractional positions:
U  0.046  0.396  0.250
U  0.396  0.046  0.750
U  0.604  0.954  0.250
U  0.954  0.604  0.750
Ga  0.133  0.867  0.250
Ga  0.500  0.500  0.000
Ga  0.500  0.500  0.500
Ga  0.867  0.133  0.750



UGa3 | GGA-PBEsol | optimized geometry

Results
**Formation enthalpy at 0 K**: -78 kJ/mol of formula units
**Space-group type**: No. 221

Cell lengths 4.186, 4.186, 4.186 Å; angles 90.00, 90.00, 90.00 degrees
Fractional positions:
U  0.000  0.000  0.000
Ga  0.000  0.500  0.500
Ga  0.500  0.000  0.500
Ga  0.500  0.500  0.000



no.,calculated volume (Å³/cell),total magnetic moment (μB/cell),DFT total energy (eV/atom)
1,88.0,0.001,-4.78
2,82.7,0.000,-4.19
3,147.9,4.991,-7.84
4,73.3,1.944,-5.75